1.
{
  "formula": "CsIn7Au12",
  "functional": "PBE",
  "state": "relaxed",
  "n_ef_per_ev_atom": 0.354,
  "magnetic_moment_mub_per_cell": 0.00,
  "e_tot_ev_per_atom": -3.072,
  "space_group": "R-3m (166)",
  "cell": [[-7.0985, 0.3309, 1.7487], [3.1372, -7.2115, 3.8908], [3.6253, 7.3579, 3.1153]],
  "species": ["In", "In", "In", "In", "In", "In", "In", "Au", "Au", "Au", "Au", "Au", "Au", "Au", "Au", "Au", "Au", "Au", "Au", "Cs"],
  "frac_coords": [[0.7892, 0.0000, 0.3531], [0.2108, 0.0000, 0.6469], [0.7892, 0.3531, 0.0000], [0.4361, 0.6469, 0.6469], [0.5000, 0.0000, 0.0000], [0.5639, 0.3531, 0.3531], [0.2108, 0.6469, 0.0000], [0.0610, 0.6681, 0.6681], [0.3928, 0.3319, 0.0000], [0.6072, 0.6681, 0.0000], [0.6072, 0.0000, 0.6681], [0.7353, 0.4706, 0.7353], [0.2647, 0.2647, 0.5294], [0.0000, 0.7353, 0.2647], [0.3928, 0.0000, 0.3319], [0.9390, 0.3319, 0.3319], [0.7353, 0.7353, 0.4706], [0.2647, 0.5294, 0.2647], [0.0000, 0.2647, 0.7353], [0.0000, 0.0000, 0.0000]]
}

---

2.
{
  "formula": "Cs3InAu2",
  "functional": "PBE",
  "state": "relaxed",
  "n_ef_per_ev_atom": 0.602,
  "magnetic_moment_mub_per_cell": 0.01,
  "e_tot_ev_per_atom": -2.169,
  "space_group": "C2/m (12)",
  "cell": [[5.2224, 0.0000, 0.0000], [2.6112, 10.1065, 0.3745], [2.6112, 2.7780, 11.4876]],
  "species": ["In", "In", "Cs", "Cs", "Cs", "Cs", "Cs", "Cs", "Au", "Au", "Au", "Au"],
  "frac_coords": [[0.5743, 0.5030, 0.3483], [0.4257, 0.4970, 0.6517], [0.6625, 0.6676, 0.0074], [0.9511, 0.8559, 0.2419], [0.0489, 0.1441, 0.7581], [0.3375, 0.3324, 0.9926], [0.7775, 0.8294, 0.6156], [0.2225, 0.1706, 0.3844], [0.5915, 0.2674, 0.5496], [0.8786, 0.4843, 0.7585], [0.4085, 0.7326, 0.4504], [0.1214, 0.5157, 0.2415]]
}

---

3.
{
  "formula": "Cs3In4Au2",
  "functional": "PBE",
  "state": "relaxed",
  "n_ef_per_ev_atom": 0.592,
  "magnetic_moment_mub_per_cell": 0.00,
  "e_tot_ev_per_atom": -2.412,
  "space_group": "C2/m (12)",
  "cell": [[4.9162, 0.0000, 0.0000], [-2.4581, 7.2513, -0.3859], [0.0000, -3.7576, 9.8354]],
  "species": ["Au", "Au", "In", "In", "In", "In", "Cs", "Cs", "Cs"],
  "frac_coords": [[0.6683, 0.3366, 0.7798], [0.3317, 0.6634, 0.2202], [0.9122, 0.8243, 0.3553], [0.0878, 0.1757, 0.6447], [0.2732, 0.5464, 0.9197], [0.7268, 0.4536, 0.0803], [0.6223, 0.2446, 0.3769], [0.0000, 0.0000, 0.0000], [0.3777, 0.7554, 0.6231]]
}